Tm2PClF: relaxed, PBE-GGA.

Energy, eV per atom: -5.901
V, Å³ per cell: 98.8
Space group: P3m1
Crystal system: trigonal

Cell: 3.801 3.801 7.893 Å, 90.00 90.00 120.00°
Sites, in units of the cell vectors:
Cl: 0.667 0.333 0.611
F: 0.000 0.000 0.330
P: 0.333 0.667 0.018
Tm: 0.667 0.333 0.216
Tm: 0.000 0.000 0.825